Entry 1:
LiMgSi2: relaxed, GGA-PBE.

Unit cell a=3.2906 b=3.2906 c=5.9780 alpha=90.00 beta=90.00 gamma=90.00
Fractional coordinates of all 4 atoms:
Li  0.5000  0.5000  0.2500
Mg  0.5000  0.5000  0.7500
Si  0.0000  0.0000  0.0351
Si  0.0000  0.0000  0.4649

Properties
As for the space group: No. 123. The value obtained for the final energy is -3.527 eV/atom. Its density of states at the Fermi level is 0.362 states/eV per atom. Its crystal system is tetragonal. The formation energy from raw total energies is 0.062 eV/atom. The density comes out at 2.24 g cm⁻³.


Entry 2:
In6BrCl5: relaxed, GGA-PBE.

Unit cell a=7.9735 b=7.9735 c=7.9357 alpha=99.71 beta=99.71 gamma=120.49
Fractional coordinates of all 12 atoms:
Cl  0.8427  0.1573  0.5000
Cl  0.6747  0.3253  0.0000
Cl  0.5000  0.5000  0.5000
Cl  0.3253  0.6747  0.0000
Cl  0.1573  0.8427  0.5000
Br  0.0000  0.0000  0.0000
In  0.9148  0.5739  0.7472
In  0.4261  0.0852  0.2528
In  0.7430  0.7430  0.2563
In  0.2570  0.2570  0.7437
In  0.5739  0.9148  0.7472
In  0.0852  0.4261  0.2528

Properties
As for the space group: No. 12. The value obtained for the final energy is -3.045 eV/atom. Its density of states at the Fermi level is 0.000 states/eV per atom. Its crystal system is monoclinic. The formation energy from raw total energies is -0.767 eV/atom. The density comes out at 3.84 g cm⁻³.


Entry 3:
NpTl2S3: relaxed, GGA-PBE.

Unit cell a=7.5063 b=7.5063 c=13.0678 alpha=101.84 beta=101.84 gamma=106.59
Fractional coordinates of all 24 atoms:
Np  0.9153  0.9153  0.8307
Np  0.3347  0.8347  0.6693
Np  0.1653  0.6653  0.3307
Np  0.0847  0.0847  0.1693
Tl  0.9966  0.4966  0.9932
Tl  0.4233  0.4233  0.8466
Tl  0.8267  0.3267  0.6534
Tl  0.2534  0.2534  0.5068
Tl  0.7466  0.7466  0.4932
Tl  0.6733  0.1733  0.3466
Tl  0.5767  0.5767  0.1534
Tl  0.5034  0.0034  0.0068
S  0.1521  0.7002  0.8116
S  0.6595  0.1114  0.8116
S  0.0979  0.0498  0.6884
S  0.5905  0.6386  0.6884
S  0.0615  0.5615  0.5000
S  0.4385  0.9385  0.5000
S  0.3614  0.4095  0.3116
S  0.9502  0.9021  0.3116
S  0.8886  0.3405  0.1884
S  0.2998  0.8479  0.1884
S  0.1885  0.1885  0.0000
S  0.8115  0.8115  0.0000

Properties
As for the space group: No. 70. The value obtained for the final energy is -5.865 eV/atom. The energy relative to the lowest polymorph listed for this composition is 0.0 meV per atom. Its density of states at the Fermi level is 1.721 states/eV per atom. Its crystal system is orthorhombic. The formation energy from raw total energies is -0.856 eV/atom. The density comes out at 7.44 g cm⁻³.


Entry 4:
LiCa3Sb2: relaxed, GGA-PBE.

Unit cell a=6.5210 b=6.5673 c=9.4147 alpha=110.41 beta=110.26 gamma=90.00
Fractional coordinates of all 12 atoms:
Li  0.0000  0.2500  0.0000
Li  0.0000  0.7500  0.0000
Ca  0.4171  0.6774  0.3548
Ca  0.5829  0.3226  0.6452
Ca  0.0623  0.8226  0.6452
Ca  0.9377  0.1774  0.3548
Ca  0.5000  0.7500  0.0000
Ca  0.5000  0.2500  0.0000
Sb  0.3702  0.1271  0.2542
Sb  0.6298  0.8729  0.7458
Sb  0.1160  0.3729  0.7458
Sb  0.8840  0.6271  0.2542

Properties
As for the space group: No. 72. The value obtained for the final energy is -3.492 eV/atom. Its density of states at the Fermi level is 0.622 states/eV per atom. Its crystal system is orthorhombic. The formation energy from raw total energies is -0.799 eV/atom. The density comes out at 3.51 g cm⁻³.


Entry 5:
MnRh2Pb: relaxed, GGA-PBE.

Unit cell a=4.3169 b=4.3169 c=3.5459 alpha=90.00 beta=90.00 gamma=90.03
Fractional coordinates of all 4 atoms:
Mn  0.5000  0.0000  0.5000
Pb  0.0000  0.5000  0.5000
Rh  0.0000  0.0000  0.0000
Rh  0.5000  0.5000  0.0000

Properties
As for the space group: No. 123. The value obtained for the final energy is -6.966 eV/atom. Its density of states at the Fermi level is 0.633 states/eV per atom. The calculation puts the formation energy at -0.071 eV per atom. Its crystal system is tetragonal. The density comes out at 11.76 g cm⁻³.


Entry 6:
Cd5In8Bi: relaxed, GGA-PBE.

Unit cell a=7.9422 b=7.9422 c=7.9422 alpha=107.21 beta=107.21 gamma=114.10
Fractional coordinates of all 14 atoms:
Cd  0.9355  0.2223  0.9668
Cd  0.7777  0.7445  0.7132
Cd  0.2555  0.9687  0.0332
Cd  0.5000  0.5000  0.0000
Cd  0.0313  0.0645  0.2868
In  0.9307  0.6158  0.0561
In  0.3842  0.4403  0.3150
In  0.6484  0.9290  0.3902
In  0.0710  0.4613  0.7194
In  0.7419  0.3516  0.2806
In  0.1253  0.0693  0.6850
In  0.5597  0.8747  0.9439
In  0.5387  0.2581  0.6098
Bi  0.2500  0.7500  0.5000

Properties
As for the space group: No. 82. The value obtained for the final energy is -2.102 eV/atom. Its density of states at the Fermi level is 0.523 states/eV per atom. The calculation puts the formation energy at 0.066 eV per atom. Its crystal system is tetragonal. The density comes out at 7.31 g cm⁻³.


Entry 7:
SrHfAl4: relaxed, GGA-PBE.

Unit cell a=5.5437 b=5.5437 c=5.5437 alpha=60.00 beta=60.00 gamma=60.00
Fractional coordinates of all 6 atoms:
Sr  0.2500  0.2500  0.2500
Hf  0.0000  0.0000  0.0000
Al  0.6256  0.6256  0.1233
Al  0.6256  0.1233  0.6256
Al  0.6256  0.6256  0.6256
Al  0.1233  0.6256  0.6256

Properties
As for the space group: No. 216. The value obtained for the final energy is -4.614 eV/atom. Its density of states at the Fermi level is 0.839 states/eV per atom. The calculation puts the formation energy at -0.180 eV per atom. Its crystal system is cubic. The density comes out at 5.16 g cm⁻³.


Entry 8:
Ba3NaTe2O6: relaxed, GGA-PBE.

Unit cell a=6.0258 b=6.0258 c=7.0948 alpha=90.00 beta=90.00 gamma=120.00
Fractional coordinates of all 12 atoms:
Ba  0.3333  0.6667  0.6368
Ba  0.6667  0.3333  0.3632
Ba  0.0000  0.0000  0.0000
Na  0.0000  0.0000  0.5000
Te  0.6667  0.3333  0.8625
Te  0.3333  0.6667  0.1375
O  0.6400  0.8200  0.3038
O  0.1800  0.3600  0.3038
O  0.1800  0.8200  0.3038
O  0.8200  0.6400  0.6962
O  0.3600  0.1800  0.6962
O  0.8200  0.1800  0.6962

Properties
As for the space group: No. 164. The value obtained for the final energy is -5.384 eV/atom. Its density of states at the Fermi level is 0.216 states/eV per atom. Its crystal system is trigonal. The formation energy from raw total energies is -1.791 eV/atom. The density comes out at 5.85 g cm⁻³.


Entry 9:
ScGeRu2: relaxed, GGA-PBE.

Unit cell a=6.9432 b=6.9432 c=5.6848 alpha=52.36 beta=52.36 gamma=90.00
Fractional coordinates of all 8 atoms:
Sc  0.5000  0.5000  0.0000
Sc  0.2500  0.7500  0.5000
Ru  0.6714  0.1250  0.2500
Ru  0.0786  0.6250  0.2500
Ru  0.3750  0.3286  0.7500
Ru  0.8750  0.9214  0.7500
Ge  0.0000  0.0000  0.0000
Ge  0.7500  0.2500  0.5000

Properties
As for the space group: No. 122. The value obtained for the final energy is -7.325 eV/atom. Its density of states at the Fermi level is 1.307 states/eV per atom. The calculation puts the formation energy at 0.050 eV per atom. Its crystal system is tetragonal. The density comes out at 7.69 g cm⁻³.


Entry 10:
CrWSe6: relaxed, GGA-PBE.

Unit cell a=6.2054 b=6.2528 c=7.0859 alpha=56.09 beta=56.08 gamma=58.12
Fractional coordinates of all 8 atoms:
Cr  0.0000  0.0000  0.0000
W  0.5000  0.5000  0.5000
Se  0.0377  0.4600  0.7562
Se  0.6901  0.0879  0.8206
Se  0.5875  0.1887  0.3212
Se  0.3099  0.9121  0.1794
Se  0.9623  0.5400  0.2438
Se  0.4125  0.8113  0.6788

Properties
As for the space group: No. 2. The value obtained for the final energy is -5.573 eV/atom. Its density of states at the Fermi level is 0.588 states/eV per atom. Its crystal system is triclinic. The formation energy from raw total energies is -0.137 eV/atom. The density comes out at 6.56 g cm⁻³.